Computed, not measured: an optimized crystal structure of Pm5Y2ErTh at the PBE level of DFT.

Output
The calculation puts the formation energy at 152 meV/atom. Its density of states at the Fermi level is 14.20 states/eV/f.u. The total energy comes out at -5.255 eV per atom.

Unit cell a=5.646 b=20.481 c=10.611 alpha=90.00 beta=90.00 gamma=90.00
Space group Cmc2_1 (No. 36)
One atom of each set of equivalent atoms:
Pm (0.000, 0.015, 0.000) (multiplicity 4)
Pm (0.000, 0.278, 0.292) (multiplicity 4)
Pm (0.000, 0.293, 0.684) (multiplicity 4)
Pm (0.000, 0.388, 0.006) (multiplicity 4)
Pm (0.000, 0.482, 0.727) (multiplicity 4)
Y (0.000, 0.112, 0.718) (multiplicity 4)
Y (0.000, 0.116, 0.292) (multiplicity 4)
Er (0.000, 0.405, 0.442) (multiplicity 4)
Th (0.000, 0.201, 0.991) (multiplicity 4)